Record 1
This record from the Alexandria database describes CeTi4In after structural relaxation. The functional is PBE.

## Properties
For the energy, the calculation gives -6.563 eV/atom. The calculation puts the density of states at the Fermi level at 2.024 states/eV per atom. The total magnetic moment is 0.0002 μB/atom. The calculated formation energy comes out at 0.145 eV/atom.

Cell and atoms, written as CIF:
```
data_CeTi4In
_chemical_formula_sum 'Ce4 Ti16 In4'
_cell_length_a 7.867
_cell_length_b 7.867
_cell_length_c 7.867
_cell_angle_alpha 90.00
_cell_angle_beta 90.00
_cell_angle_gamma 90.00
_symmetry_space_group_name_H-M 'F -4 3 m'
_symmetry_Int_Tables_number 216
_symmetry_space_group_name_Hall 'F -4 2 3'
loop_
_atom_site_label
_atom_site_fract_x
_atom_site_fract_y
_atom_site_fract_z
_atom_site_occupancy
Ce1 0.000 0.000 0.000 1
Ti1 0.127 0.127 0.373 1
In1 0.250 0.250 0.750 1
```



Record 2
This record from the Alexandria database describes SrBeW2 after structural relaxation. The functional is PBE.

## Properties
For the energy, the calculation gives -6.486 eV/atom. The calculation puts the density of states at the Fermi level at 0.903 states/eV per atom. The total magnetic moment is 0.0000 μB/atom. The calculated formation energy comes out at 1.343 eV/atom.

Cell and atoms, written as CIF:
```
data_SrBeW2
_chemical_formula_sum 'Sr2 Be2 W4'
_cell_length_a 5.541
_cell_length_b 9.906
_cell_length_c 2.704
_cell_angle_alpha 90.00
_cell_angle_beta 90.00
_cell_angle_gamma 90.00
_symmetry_space_group_name_H-M 'C m m m'
_symmetry_Int_Tables_number 65
_symmetry_space_group_name_Hall '-C 2 2'
loop_
_atom_site_label
_atom_site_fract_x
_atom_site_fract_y
_atom_site_fract_z
_atom_site_occupancy
Sr1 0.000 0.000 0.000 1
Be1 0.000 0.500 0.000 1
W1 0.250 0.250 0.500 1
```



Record 3
This record from the Alexandria database describes Be2AgSb after structural relaxation. The functional is PBE.

## Properties
For the energy, the calculation gives -3.044 eV/atom. The calculation puts the density of states at the Fermi level at 0.330 states/eV per atom. The total magnetic moment is 0.0000 μB/atom. Its uncorrected formation energy is 54 kJ per mole of atoms.

Cell and atoms, written as CIF:
```
data_Be2AgSb
_chemical_formula_sum 'Be4 Ag2 Sb2'
_cell_length_a 3.831
_cell_length_b 3.831
_cell_length_c 8.680
_cell_angle_alpha 90.00
_cell_angle_beta 90.00
_cell_angle_gamma 90.00
_symmetry_space_group_name_H-M 'I -4 m 2'
_symmetry_Int_Tables_number 119
_symmetry_space_group_name_Hall 'I -4 -2'
loop_
_atom_site_label
_atom_site_fract_x
_atom_site_fract_y
_atom_site_fract_z
_atom_site_occupancy
Be1 0.000 0.000 0.000 1
Be2 0.000 0.500 0.250 1
Ag1 0.000 0.000 0.500 1
Sb1 0.000 0.500 0.750 1
```



Record 4
This record from the Alexandria database describes CsSiS2Cl after structural relaxation. The functional is PBE.

## Properties
For the energy, the calculation gives -3.882 eV/atom. The calculation puts the density of states at the Fermi level at 0.006 states/eV per atom. The total magnetic moment is 0.0000 μB/atom. Its uncorrected formation energy is -58 kJ per mole of atoms.

Cell and atoms, written as CIF:
```
data_CsSiS2Cl
_chemical_formula_sum 'Cs1 Si1 S2 Cl1'
_cell_length_a 4.654
_cell_length_b 4.654
_cell_length_c 5.597
_cell_angle_alpha 90.00
_cell_angle_beta 90.00
_cell_angle_gamma 90.00
_symmetry_space_group_name_H-M 'P 4/m m m'
_symmetry_Int_Tables_number 123
_symmetry_space_group_name_Hall '-P 4 2'
loop_
_atom_site_label
_atom_site_fract_x
_atom_site_fract_y
_atom_site_fract_z
_atom_site_occupancy
Cs1 0.000 0.000 0.000 1
Si1 0.500 0.500 0.500 1
S1 0.000 0.500 0.500 1
Cl1 0.500 0.500 0.000 1
```



Record 5
This record from the Alexandria database describes Hf8BiPt2 after structural relaxation. The functional is PBE.

## Properties
For the energy, the calculation gives -8.992 eV/atom. The calculation puts the density of states at the Fermi level at 0.775 states/eV per atom. The total magnetic moment is 0.0000 μB/atom. The calculated formation energy comes out at -0.302 eV/atom.

Cell and atoms, written as CIF:
```
data_Hf8BiPt2
_chemical_formula_sum 'Hf16 Bi2 Pt4'
_cell_length_a 14.628
_cell_length_b 5.645
_cell_length_c 5.829
_cell_angle_alpha 90.00
_cell_angle_beta 93.37
_cell_angle_gamma 90.00
_symmetry_space_group_name_H-M 'C 1 2/m 1'
_symmetry_Int_Tables_number 12
loop_
_symmetry_equiv_pos_as_xyz
'x,y,z'
'-x,-y,-z'
'-x,y,-z'
'x,-y,z'
'x+1/2,y+1/2,z'
'-x+1/2,-y+1/2,-z'
'-x+1/2,y+1/2,-z'
'x+1/2,-y+1/2,z'
loop_
_atom_site_label
_atom_site_fract_x
_atom_site_fract_y
_atom_site_fract_z
_atom_site_occupancy
Hf1 0.094 0.000 0.124 1
Hf2 0.101 0.243 0.646 1
Hf3 0.221 0.500 0.120 1
Bi1 0.000 0.500 0.000 1
Pt1 0.242 0.000 0.402 1
```



Record 6
This record from the Alexandria database describes Ac3Tb4Pr2 after structural relaxation. The functional is PBE.

## Properties
For the energy, the calculation gives -4.456 eV/atom. The calculation puts the density of states at the Fermi level at 1.384 states/eV per atom. The total magnetic moment is 0.0000 μB/atom. The calculated formation energy comes out at 0.034 eV/atom.

Cell and atoms, written as CIF:
```
data_Ac3Tb4Pr2
_chemical_formula_sum 'Ac6 Tb8 Pr4'
_cell_length_a 19.450
_cell_length_b 3.795
_cell_length_c 10.010
_cell_angle_alpha 90.00
_cell_angle_beta 115.61
_cell_angle_gamma 90.00
_symmetry_space_group_name_H-M 'C 1 2/m 1'
_symmetry_Int_Tables_number 12
loop_
_symmetry_equiv_pos_as_xyz
'x,y,z'
'-x,-y,-z'
'-x,y,-z'
'x,-y,z'
'x+1/2,y+1/2,z'
'-x+1/2,-y+1/2,-z'
'-x+1/2,y+1/2,-z'
'x+1/2,-y+1/2,z'
loop_
_atom_site_label
_atom_site_fract_x
_atom_site_fract_y
_atom_site_fract_z
_atom_site_occupancy
Ac1 0.000 0.000 0.000 1
Ac2 0.146 0.000 0.662 1
Tb1 0.020 0.500 0.330 1
Tb2 0.184 0.000 0.337 1
Pr1 0.168 0.500 0.009 1
```



Record 7
This record from the Alexandria database describes CsSmSnSe4 after structural relaxation. The functional is PBE.

## Properties
For the energy, the calculation gives -4.510 eV/atom. The total magnetic moment is 0.0000 μB/atom. Its uncorrected formation energy is -111 kJ per mole of atoms.

Cell and atoms, written as CIF:
```
data_CsSmSnSe4
_chemical_formula_sum 'Cs2 Sm2 Sn2 Se8'
_cell_length_a 7.063
_cell_length_b 7.316
_cell_length_c 9.993
_cell_angle_alpha 90.00
_cell_angle_beta 108.25
_cell_angle_gamma 90.00
_symmetry_space_group_name_H-M 'P 1 21/m 1'
_symmetry_Int_Tables_number 11
loop_
_symmetry_equiv_pos_as_xyz
'x,y,z'
'-x,-y,-z'
'-x,y+1/2,-z'
'x,-y+1/2,z'
loop_
_atom_site_label
_atom_site_fract_x
_atom_site_fract_y
_atom_site_fract_z
_atom_site_occupancy
Cs1 0.250 0.250 0.057 1
Sm1 0.219 0.250 0.549 1
Sn1 0.231 0.750 0.339 1
Se1 0.020 0.514 0.696 1
Se2 0.442 0.750 0.177 1
Se3 0.466 0.750 0.587 1
```



Record 8
This record from the Alexandria database describes HoMg3Pb3 after structural relaxation. The functional is PBE.

## Properties
For the energy, the calculation gives -2.993 eV/atom. The calculation puts the density of states at the Fermi level at 0.423 states/eV per atom. The total magnetic moment is 0.0000 μB/atom. The calculated formation energy comes out at -0.066 eV/atom.

Cell and atoms, written as CIF:
```
data_HoMg3Pb3
_chemical_formula_sum 'Ho6 Mg18 Pb18'
_cell_length_a 8.3486
_cell_length_b 8.3486
_cell_length_c 20.4778
_cell_angle_alpha 90.00
_cell_angle_beta 90.00
_cell_angle_gamma 120.00
_symmetry_space_group_name_H-M 'R -3'
_symmetry_Int_Tables_number 148
_symmetry_space_group_name_Hall '-R 3'
loop_
_atom_site_label
_atom_site_fract_x
_atom_site_fract_y
_atom_site_fract_z
_atom_site_occupancy
Ho1 0.0000 0.0000 0.1679 1
Mg1 0.0045 0.6503 0.3827 1
Pb1 0.0039 0.6962 0.5651 1
```



Record 9
This record from the Alexandria database describes NbOsS after structural relaxation. The functional is PBE.

## Properties
For the energy, the calculation gives -8.611 eV/atom. The calculation puts the density of states at the Fermi level at 0.800 states/eV per atom. The total magnetic moment is 0.0000 μB/atom. Its uncorrected formation energy is -13 kJ per mole of atoms.

Cell and atoms, written as CIF:
```
data_NbOsS
_chemical_formula_sum 'Nb2 Os2 S2'
_cell_length_a 2.9907
_cell_length_b 2.9907
_cell_length_c 12.4446
_cell_angle_alpha 90.00
_cell_angle_beta 90.00
_cell_angle_gamma 120.00
_symmetry_space_group_name_H-M 'P -6 m 2'
_symmetry_Int_Tables_number 187
_symmetry_space_group_name_Hall 'P -6 2'
loop_
_atom_site_label
_atom_site_fract_x
_atom_site_fract_y
_atom_site_fract_z
_atom_site_occupancy
Nb1 0.0000 0.0000 0.1766 1
Os1 0.3333 0.6667 0.0000 1
Os2 0.3333 0.6667 0.5000 1
S1 0.3333 0.6667 0.3176 1
```



Record 10
This record from the Alexandria database describes PIBr2 after structural relaxation. The functional is PBE.

## Properties
For the energy, the calculation gives -2.244 eV/atom. The calculation puts the density of states at the Fermi level at 0.789 states/eV per atom. The total magnetic moment is 0.0000 μB/atom. Its uncorrected formation energy is 32 kJ per mole of atoms.

Cell and atoms, written as CIF:
```
data_PIBr2
_chemical_formula_sum 'P3 I3 Br6'
_cell_length_a 3.9004
_cell_length_b 3.9004
_cell_length_c 31.6459
_cell_angle_alpha 90.00
_cell_angle_beta 90.00
_cell_angle_gamma 120.00
_symmetry_space_group_name_H-M 'R -3 m'
_symmetry_Int_Tables_number 166
_symmetry_space_group_name_Hall '-R 3 2"'
loop_
_atom_site_label
_atom_site_fract_x
_atom_site_fract_y
_atom_site_fract_z
_atom_site_occupancy
P1 0.0000 0.0000 0.0000 1
I1 0.0000 0.0000 0.5000 1
Br1 0.0000 0.0000 0.3790 1
```



Record 11
This record from the Alexandria database describes TlCd2Cl after structural relaxation. The functional is PBE.

## Properties
For the energy, the calculation gives -1.766 eV/atom. The calculation puts the density of states at the Fermi level at 0.294 states/eV per atom. The total magnetic moment is 0.0000 μB/atom. Its uncorrected formation energy is -25 kJ per mole of atoms.

Cell and atoms, written as CIF:
```
data_TlCd2Cl
_chemical_formula_sum 'Tl3 Cd6 Cl3'
_cell_length_a 3.6092
_cell_length_b 3.6092
_cell_length_c 28.6263
_cell_angle_alpha 90.00
_cell_angle_beta 90.00
_cell_angle_gamma 120.00
_symmetry_space_group_name_H-M 'R -3 m'
_symmetry_Int_Tables_number 166
_symmetry_space_group_name_Hall '-R 3 2"'
loop_
_atom_site_label
_atom_site_fract_x
_atom_site_fract_y
_atom_site_fract_z
_atom_site_occupancy
Tl1 0.0000 0.0000 0.0000 1
Cd1 0.0000 0.0000 0.2417 1
Cl1 0.0000 0.0000 0.5000 1
```



Record 12
This record from the Alexandria database describes Nd2MgBr after structural relaxation. The functional is PBE.

## Properties
For the energy, the calculation gives -3.712 eV/atom. The calculation puts the density of states at the Fermi level at 0.854 states/eV per atom. The total magnetic moment is 0.0000 μB/atom. Its uncorrected formation energy is -49 kJ per mole of atoms.

Cell and atoms, written as CIF:
```
data_Nd2MgBr
_chemical_formula_sum 'Nd2 Mg1 Br1'
_cell_length_a 3.587
_cell_length_b 3.587
_cell_length_c 8.911
_cell_angle_alpha 90.00
_cell_angle_beta 90.00
_cell_angle_gamma 90.00
_symmetry_space_group_name_H-M 'P 4/m m m'
_symmetry_Int_Tables_number 123
_symmetry_space_group_name_Hall '-P 4 2'
loop_
_atom_site_label
_atom_site_fract_x
_atom_site_fract_y
_atom_site_fract_z
_atom_site_occupancy
Nd1 0.000 0.000 0.247 1
Mg1 0.500 0.500 0.000 1
Br1 0.500 0.500 0.500 1
```